Entry 1:
! GGA-PBE Mg2Sc2Zn2PtAu, optimized geometry; values from VASP
! Spin magnetization (Bohr magnetons per cell): 0.0
! Total energy (eV/atom): -4.087
! Space group: P-4m2, No. 115
&SYSTEM
  ibrav = 0, nat = 8, ntyp = 5
/
ATOMIC_SPECIES
Mg 24.30 Mg.upf
Sc 44.96 Sc.upf
Zn 65.41 Zn.upf
Pt 195.08 Pt.upf
Au 196.97 Au.upf
ATOMIC_POSITIONS crystal
Mg 0.000 0.500 0.246
Mg 0.500 0.000 0.754
Sc 0.000 0.500 0.757
Sc 0.500 0.000 0.243
Zn 0.000 0.000 0.000
Zn 0.500 0.500 0.500
Pt 0.500 0.500 0.000
Au 0.000 0.000 0.500
CELL_PARAMETERS angstrom
4.646 0.000 0.000
0.000 4.646 0.000
0.000 0.000 6.585

Entry 2:
! GGA-PBE NaLaTaIr, optimized geometry; values from VASP
! Spin magnetization (Bohr magnetons per cell): 0.0
! Energy above the most stable polymorph in this dataset (meV per atom): 6
! Total energy (eV/atom): -6.360
! Space group: F-43m, No. 216
&SYSTEM
  ibrav = 0, nat = 4, ntyp = 4
/
ATOMIC_SPECIES
Na 22.99 Na.upf
La 138.91 La.upf
Ta 180.95 Ta.upf
Ir 192.22 Ir.upf
ATOMIC_POSITIONS crystal
Na 0.000 0.000 0.000
La 0.250 0.250 0.250
Ta 0.750 0.750 0.750
Ir 0.500 0.500 0.500
CELL_PARAMETERS angstrom
0.000 3.475 3.475
3.475 0.000 3.475
3.475 3.475 0.000

Entry 3:
! GGA-PBE SmDyZr, optimized geometry; values from VASP
! Spin magnetization (Bohr magnetons per cell): 0.2
! Total energy (eV/atom): -4.986
! Energy of formation from the pure elements (eV/f.u.): 2.9
! Space group: F-43m, No. 216
&SYSTEM
  ibrav = 0, nat = 3, ntyp = 3
/
ATOMIC_SPECIES
Sm 150.36 Sm.upf
Dy 162.50 Dy.upf
Zr 91.22 Zr.upf
ATOMIC_POSITIONS crystal
Sm 0.000 0.000 0.000
Dy 0.750 0.750 0.750
Zr 0.250 0.250 0.250
CELL_PARAMETERS angstrom
0.000 3.679 3.679
3.679 0.000 3.679
3.679 3.679 0.000

Entry 4:
! GGA-PBE B2TeAu2, optimized geometry; values from VASP
! Energy above the most stable polymorph in this dataset (meV per atom): 0
! Total energy (eV/atom): -3.787
! Space group: I4/mmm, No. 139
&SYSTEM
  ibrav = 0, nat = 5, ntyp = 3
/
ATOMIC_SPECIES
B 10.81 B.upf
Te 127.60 Te.upf
Au 196.97 Au.upf
ATOMIC_POSITIONS crystal
B 0.095 0.095 0.000
B 0.905 0.905 0.000
Te 0.500 0.500 0.000
Au 0.250 0.750 0.500
Au 0.750 0.250 0.500
CELL_PARAMETERS angstrom
-2.073 2.073 4.495
2.073 -2.073 4.495
2.073 2.073 -4.495

Entry 5:
! GGA-PBE PuPaIn, optimized geometry; values from VASP
! Spin magnetization (Bohr magnetons per cell): 8.0
! Energy above the most stable polymorph in this dataset (meV per atom): 0
! Total energy (eV/atom): -8.232
! Space group: F-43m, No. 216
&SYSTEM
  ibrav = 0, nat = 3, ntyp = 3
/
ATOMIC_SPECIES
Pu 244.00 Pu.upf
Pa 231.04 Pa.upf
In 114.82 In.upf
ATOMIC_POSITIONS crystal
Pu 0.000 0.000 0.000
Pa 0.500 0.500 0.500
In 0.250 0.250 0.250
CELL_PARAMETERS angstrom
0.000 3.548 3.548
3.548 0.000 3.548
3.548 3.548 0.000

Entry 6:
! GGA-PBE Gd3Cd2InPd2Au, optimized geometry; values from VASP
! Spin magnetization (Bohr magnetons per cell): 0.0
! Total energy (eV/atom): -4.282
! Space group: Amm2, No. 38
&SYSTEM
  ibrav = 0, nat = 9, ntyp = 5
/
ATOMIC_SPECIES
Gd 157.25 Gd.upf
Cd 112.41 Cd.upf
In 114.82 In.upf
Pd 106.42 Pd.upf
Au 196.97 Au.upf
ATOMIC_POSITIONS crystal
Gd 0.000 0.000 0.000
Gd 0.000 0.189 0.597
Gd 0.000 0.597 0.189
Cd 0.500 0.594 0.862
Cd 0.500 0.862 0.594
In 0.500 0.332 0.332
Pd 0.500 0.263 0.934
Pd 0.500 0.934 0.263
Au 0.000 0.596 0.596
CELL_PARAMETERS angstrom
3.917 0.000 0.000
0.000 6.746 3.878
0.000 -6.746 3.878

Entry 7:
! GGA-PBE CuAgGeMo, optimized geometry; values from VASP
! Spin magnetization (Bohr magnetons per cell): 1.2
! Energy above the most stable polymorph in this dataset (meV per atom): 0
! Total energy (eV/atom): -5.107
! Space group: F-43m, No. 216
&SYSTEM
  ibrav = 0, nat = 4, ntyp = 4
/
ATOMIC_SPECIES
Cu 63.55 Cu.upf
Ag 107.87 Ag.upf
Ge 72.64 Ge.upf
Mo 95.94 Mo.upf
ATOMIC_POSITIONS crystal
Cu 0.000 0.000 0.000
Ag 0.250 0.250 0.250
Ge 0.750 0.750 0.750
Mo 0.500 0.500 0.500
CELL_PARAMETERS angstrom
0.000 3.138 3.138
3.138 0.000 3.138
3.138 3.138 0.000

Entry 8:
! GGA-PBE BiAsIr, optimized geometry; values from VASP
! Spin magnetization (Bohr magnetons per cell): 0.0
! Energy above the most stable polymorph in this dataset (meV per atom): 0
! Total energy (eV/atom): -6.127
! Space group: P2_1/c, No. 14
&SYSTEM
  ibrav = 0, nat = 12, ntyp = 3
/
ATOMIC_SPECIES
Bi 208.98 Bi.upf
As 74.92 As.upf
Ir 192.22 Ir.upf
ATOMIC_POSITIONS crystal
Bi 0.153 0.130 0.366
Bi 0.153 0.370 0.866
Bi 0.847 0.630 0.134
Bi 0.847 0.870 0.634
As 0.352 0.640 0.672
As 0.352 0.860 0.172
As 0.648 0.140 0.828
As 0.648 0.360 0.328
Ir 0.296 0.516 0.299
Ir 0.296 0.984 0.799
Ir 0.704 0.016 0.201
Ir 0.704 0.484 0.701
CELL_PARAMETERS angstrom
6.596 0.000 0.000
0.000 6.516 0.000
-2.695 0.000 6.057